Li3HAu | PBE | optimized geometry

POSCAR file:
```
Li3HAu
1.0
3.4690 -2.0029 0.0000
0.0000 4.0057 0.0000
0.0000 0.0000 14.1433
H Au Li
2 2 6
direct
0.0000 0.0000 0.0000 H
0.0000 0.0000 0.5000 H
0.3333 0.6667 0.7500 Au
0.6667 0.3333 0.2500 Au
0.0000 0.0000 0.2500 Li
0.0000 0.0000 0.7500 Li
0.3333 0.6667 0.9309 Li
0.3333 0.6667 0.5691 Li
0.6667 0.3333 0.4309 Li
0.6667 0.3333 0.0691 Li
```

Results
Energy above the most stable polymorph in this dataset ... 437 meV per atom
Crystal system ... hexagonal
Final energy ... -2.455 eV/atom
Space-group type ... No. 194